# Li7Mg3Ag PBE optimized geometry
# Relative energy among the computed polymorphs, eV/f.u.: 0.133
data_Li7Mg3Ag
_space_group_name_H-M_alt 'P 3 m 1'
_space_group_IT_number 156
_cell_length_a 5.9849
_cell_length_b 5.9849
_cell_length_c 7.3797
_cell_angle_alpha 90.00
_cell_angle_beta 90.00
_cell_angle_gamma 120.00
loop_
_space_group_symop_operation_xyz
'x,y,z'
'-y,x-y,z'
'-x+y,-x,z'
'-y,-x,z'
'-x+y,y,z'
'x,x-y,z'
loop_
_atom_site_label
_atom_site_fract_x
_atom_site_fract_y
_atom_site_fract_z
Li1 0.0000 0.0000 0.0000
Li2 0.1676 0.3352 0.3312
Li3 0.5050 0.0099 0.0082
Mg1 0.3357 0.1678 0.6619
Ag1 0.6667 0.3333 0.3353